*one*
Entry from the Alexandria database: a PBEsol-optimized structure of TaBeRe2 (SCAN).

Geometry as POSCAR:
```
TaBeRe2
1.0
4.3136 0.0000 0.0000
2.1568 3.7357 0.0000
2.1568 1.2452 3.5220
Be Ta Re
1 1 2
direct
0.5000 0.5000 0.5000 Be
0.2500 0.2500 0.2500 Ta
0.0000 0.0000 0.0000 Re
0.7500 0.7500 0.7500 Re
```

---

*two*
Entry from the Alexandria database: a PBEsol-optimized structure of TaBeRe2 (SCAN).

Geometry as POSCAR:
```
TaBeRe2
1.0
3.2886 0.0000 0.0000
0.0000 4.1379 0.0000
0.0000 0.0000 4.1480
Be Re Ta
1 2 1
direct
0.0000 0.5000 0.5000 Be
0.5000 0.0000 0.5000 Re
0.0000 0.0000 0.0000 Re
0.5000 0.5000 0.0000 Ta
```

---

The structure with the most favorable energy is *two*; the runner-up is 32 meV per atom above it.

---

*one*
Entry from the Alexandria database: a PBEsol-optimized structure of Be2ReTc (SCAN).

Geometry as POSCAR:
```
Be2ReTc
1.0
-2.3629 0.8678 -1.4515
0.7343 -1.7202 -2.2237
-2.8982 -4.1381 2.2440
Be Re Tc
2 1 1
direct
0.5000 0.5000 0.2201 Be
0.0000 0.0000 0.0284 Be
0.0000 0.0000 0.4949 Re
0.5000 0.5000 0.7566 Tc
```

---

*two*
Entry from the Alexandria database: a PBEsol-optimized structure of Be2ReTc (SCAN).

Geometry as POSCAR:
```
Be2ReTc
1.0
-1.7565 2.1153 -1.3740
-1.1978 -2.2325 -1.9057
-2.2886 -1.8168 3.5668
Tc Be Re
1 2 1
direct
0.3999 0.5000 0.7997 Tc
0.8190 0.0000 0.6379 Be
0.6809 0.5000 0.3618 Be
0.0999 0.0000 0.1998 Re
```

---

The structure with the most favorable energy is *two*; the runner-up is 161 meV per atom above it.

---

*one*
Entry from the Alexandria database: a PBEsol-optimized structure of Be2TlRe (SCAN).

Geometry as POSCAR:
```
Be2TlRe
1.0
5.3434 -0.0054 0.0000
-2.5959 4.6704 0.0000
-1.3737 -2.3325 4.6069
Tl Re Be
2 2 4
direct
0.0000 0.0000 0.0000 Tl
0.2500 0.7500 0.5000 Tl
0.7500 0.2500 0.5000 Re
0.5000 0.5000 0.0000 Re
0.3961 0.3750 0.5211 Be
0.1250 0.6039 0.9789 Be
0.8539 0.8750 0.4789 Be
0.6250 0.1461 0.0211 Be
```

---

*two*
Entry from the Alexandria database: a PBEsol-optimized structure of Be2TlRe (SCAN).

Geometry as POSCAR:
```
Be2TlRe
1.0
3.4977 0.0000 0.0000
0.0000 3.4977 0.0000
-1.7488 -1.7488 4.3020
Tl Be Re
1 2 1
direct
0.2500 0.7500 0.5000 Tl
0.0000 0.0000 0.0000 Be
0.7500 0.2500 0.5000 Be
0.5000 0.5000 0.0000 Re
```

---

The structure with the most favorable energy is *two*; the runner-up is 465 meV per atom above it.

---

*one*
Entry from the Alexandria database: a PBEsol-optimized structure of BeTlRe2 (SCAN).

Geometry as POSCAR:
```
BeTlRe2
1.0
-1.4373 -0.6021 2.6426
0.6335 -4.3181 -0.6393
3.9094 0.2503 2.1834
Be Tl Re
1 1 2
direct
0.0000 0.5000 0.5000 Be
0.5000 0.0000 0.5000 Tl
0.0000 0.0000 0.0000 Re
0.5000 0.5000 0.0000 Re
```

---

*two*
Entry from the Alexandria database: a PBEsol-optimized structure of BeTlRe2 (SCAN).

Geometry as POSCAR:
```
BeTlRe2
1.0
-1.0812 2.9163 2.1162
-2.0584 -2.3134 2.1363
4.9503 -0.9232 0.4577
Be Re Tl
1 2 1
direct
0.0000 0.0000 0.0000 Be
0.7500 0.2500 0.5000 Re
0.2500 0.7500 0.5000 Re
0.5000 0.5000 0.0000 Tl
```

---

*three*
Entry from the Alexandria database: a PBEsol-optimized structure of BeTlRe2 (SCAN).

Geometry as POSCAR:
```
BeTlRe2
1.0
3.7682 0.0000 0.0000
0.0000 3.7682 0.0000
0.0000 0.0000 4.2764
Re Be Tl
2 1 1
direct
0.0000 0.5000 0.0000 Re
0.5000 0.0000 0.0000 Re
0.0000 0.0000 0.5000 Be
0.5000 0.5000 0.5000 Tl
```

---

The structure with the most favorable energy is *one*; the runner-up is 89 meV per atom above it.

---

*one*
Entry from the Alexandria database: a PBEsol-optimized structure of ScBe2Rh (SCAN).

Geometry as POSCAR:
```
ScBe2Rh
1.0
4.0992 0.0000 0.0000
2.0496 3.5500 0.0000
2.0496 1.1833 3.3470
Be Sc Rh
2 1 1
direct
0.2500 0.2500 0.2500 Be
0.7500 0.7500 0.7500 Be
0.5000 0.5000 0.5000 Sc
0.0000 0.0000 0.0000 Rh
```

---

*two*
Entry from the Alexandria database: a PBEsol-optimized structure of ScBe2Rh (SCAN).

Geometry as POSCAR:
```
ScBe2Rh
1.0
-2.0448 -1.7940 -1.0675
2.0147 -1.3044 -1.6669
1.1306 -3.9333 4.4445
Be Rh Sc
2 1 1
direct
0.0000 0.0000 0.0634 Be
0.5000 0.5000 0.2488 Be
0.0000 0.0000 0.4458 Rh
0.5000 0.5000 0.7420 Sc
```

---

*three*
Entry from the Alexandria database: a PBEsol-optimized structure of ScBe2Rh (SCAN).

Geometry as POSCAR:
```
ScBe2Rh
1.0
3.6183 0.0000 0.0000
0.0000 3.6183 0.0000
0.0000 0.0000 3.9339
Be Sc Rh
2 1 1
direct
0.5000 0.0000 0.0000 Be
0.0000 0.5000 0.0000 Be
0.0000 0.0000 0.5000 Sc
0.5000 0.5000 0.5000 Rh
```

---

The structure with the most favorable energy is *one*; the runner-up is 98 meV per atom above it.

---

*one*
Entry from the Alexandria database: a PBEsol-optimized structure of BeRhSe (SCAN).

Geometry as POSCAR:
```
BeRhSe
1.0
-1.2737 -2.2478 -1.9440
0.7980 -2.7091 2.6096
-3.3808 1.8293 0.0999
Be Se Rh
1 1 1
direct
0.8349 0.0000 0.0000 Be
0.3324 0.6667 0.3333 Se
0.8327 0.3333 0.6667 Rh
```

---

*two*
Entry from the Alexandria database: a PBEsol-optimized structure of BeRhSe (SCAN).

Geometry as POSCAR:
```
BeRhSe
1.0
3.8791 0.0000 0.0000
1.9395 3.3594 0.0000
1.9395 1.1198 3.1673
Be Se Rh
1 1 1
direct
0.2500 0.2500 0.2500 Be
0.5000 0.5000 0.5000 Se
0.0000 0.0000 0.0000 Rh
```

---

The structure with the most favorable energy is *two*; the runner-up is 95 meV per atom above it.

---

*one*
Entry from the Alexandria database: a PBEsol-optimized structure of Be2SiRh (SCAN).

Geometry as POSCAR:
```
Be2SiRh
1.0
3.4402 0.0000 0.0000
0.0000 3.4402 0.0000
-1.7201 -1.7201 3.5492
Si Be Rh
1 2 1
direct
0.2500 0.7500 0.5000 Si
0.7500 0.2500 0.5000 Be
0.5000 0.5000 0.0000 Be
0.0000 0.0000 0.0000 Rh
```

---

*two*
Entry from the Alexandria database: a PBEsol-optimized structure of Be2SiRh (SCAN).

Geometry as POSCAR:
```
Be2SiRh
1.0
-3.1932 0.7803 -1.0393
0.7346 -1.1905 -3.1510
0.1285 -3.0189 3.0566
Si Be Rh
1 2 1
direct
0.5000 0.5000 0.0000 Si
0.2500 0.7500 0.5000 Be
0.7500 0.2500 0.5000 Be
0.0000 0.0000 0.0000 Rh
```

---

The structure with the most favorable energy is *one*; the runner-up is 19 meV per atom above it.

---

*one*
Entry from the Alexandria database: a PBEsol-optimized structure of BeSiRh (SCAN).

Geometry as POSCAR:
```
BeSiRh
1.0
-2.0211 1.8171 0.7121
-0.0708 -1.2473 2.9834
3.6205 2.1557 -0.7652
Be Rh Si
1 1 1
direct
0.0007 0.0006 0.0010 Be
0.6652 0.6653 0.3305 Rh
0.3342 0.3343 0.6685 Si
```

---

*two*
Entry from the Alexandria database: a PBEsol-optimized structure of BeSiRh (SCAN).

Geometry as POSCAR:
```
BeSiRh
1.0
-3.4861 1.3058 -0.9765
-3.1498 -1.5818 1.5456
-2.0960 1.9814 2.5481
Be Rh Si
1 1 1
direct
0.5000 0.5000 0.5000 Be
0.2500 0.2500 0.2500 Rh
0.0000 0.0000 0.0000 Si
```

---

The structure with the most favorable energy is *one*; the runner-up is 212 meV per atom above it.